! BaMnP2O | Alexandria | PBE+U | relaxed; values from VASP
! SG: P4/mmm
! Size of the total moment: 0.46 μB per atom
! Offset from the most stable computed form: 0.00 kJ per mole of atoms
&SYSTEM
  ibrav = 0, nat = 5, ntyp = 4
/
ATOMIC_SPECIES
Ba 137.33 Ba.upf
Mn 54.94 Mn.upf
P 30.97 P.upf
O 16.00 O.upf
CELL_PARAMETERS angstrom
4.9889 0.0000 0.0000
0.0000 4.9889 0.0000
0.0000 0.0000 4.1157
ATOMIC_POSITIONS angstrom
Ba 0.0000 0.0000 0.0000
Mn 2.4945 2.4945 2.0578
P 0.0000 2.4945 2.0578
P 2.4945 0.0000 2.0578
O 2.4945 2.4945 0.0000